PBE LiV2In2, optimized geometry; total magnetic moment = 0.00 μB per cell; DFT total energy = -49.22 eV per cell; calculated formation energy = 204 meV per atom; energy relative to the lowest polymorph listed for this composition = 0 meV per atom; Fermi-level density of states = 8.2 states/eV/cell
1.0
7.8242 0.0000 0.0000
0.0000 7.8242 0.0000
0.0000 0.0000 3.1252
Li V In
2 4 4
direct
0.0000 0.0000 0.0000 Li
0.5000 0.5000 0.0000 Li
0.0892 0.4108 0.0000 V
0.4108 0.9108 0.0000 V
0.5892 0.0892 0.0000 V
0.9108 0.5892 0.0000 V
0.2033 0.7033 0.5000 In
0.2967 0.2033 0.5000 In
0.7033 0.7967 0.5000 In
0.7967 0.2967 0.5000 In